# 1
# Mg3H5Ir2

Mg3H5Ir2 after structural relaxation (PBE-GGA, Alexandria via LeMat-Bulk).

Output
- uncorrected energy (eV/cell) = -42.152

```
Mg3H5Ir2
1.0
7.3941 -0.0002 -1.5746
-1.1353 4.5726 -0.0025
-0.0004 -0.0002 3.1524
Mg H Ir
3 5 2
direct
0.2435 0.2484 0.7162
0.6156 0.0216 0.4025
0.9415 0.6435 0.5658
0.3685 0.8718 0.7794
0.4310 0.5326 0.3104
0.7564 0.3593 0.9735
0.7554 0.8288 0.9726
0.0947 0.9517 0.1425
0.2662 0.7261 0.2281
0.9153 0.1554 0.0526
```

# 2
# VCu2BiPb

VCu2BiPb after structural relaxation (PBE-GGA, Alexandria via LeMat-Bulk).

Output
- energy of formation from the pure elements (eV/atom) = 1.203

```
VCu2BiPb
1.0
4.8508 0.0000 0.0000
0.0000 6.3994 0.0000
0.0000 0.0000 4.8508
Pb Bi Cu V
1 1 2 1
direct
0.0000 0.5000 0.0000
0.0000 0.0000 0.0000
0.0000 0.0000 0.5000
0.5000 0.0000 0.0000
0.5000 0.5000 0.5000
```

# 3
# Tb12NdIn3

Tb12NdIn3 after structural relaxation (PBE-GGA, Alexandria via LeMat-Bulk).

Output
- energy of formation from the pure elements (eV/atom) = -0.190

```
Tb12NdIn3
1.0
4.8824 0.0000 0.0000
0.0000 4.8824 0.0000
0.0000 0.0000 19.9539
Tb Nd In
12 1 3
direct
0.5000 0.5000 0.0000
0.5000 0.5000 0.2562
0.5000 0.5000 0.5000
0.5000 0.5000 0.7438
0.5000 0.0000 0.1325
0.5000 0.0000 0.3775
0.5000 0.0000 0.6225
0.5000 0.0000 0.8675
0.0000 0.5000 0.1325
0.0000 0.5000 0.3775
0.0000 0.5000 0.6225
0.0000 0.5000 0.8675
0.0000 0.0000 0.0000
0.0000 0.0000 0.2569
0.0000 0.0000 0.5000
0.0000 0.0000 0.7431
```

# 4
# KMo2Au

KMo2Au after structural relaxation (PBE-GGA, Alexandria via LeMat-Bulk).

Output
- energy of formation from the pure elements (eV/atom) = 0.844

```
KMo2Au
1.0
-0.0019 0.9592 2.7394
-0.1207 -4.3562 1.5253
7.3085 -0.1788 0.0677
Au K Mo
1 1 2
direct
0.5000 0.5000 0.2500
0.5000 0.5000 0.7500
0.0000 0.0000 0.1037
0.0000 0.0000 0.3963
```

# 5
# BaMgGa2Pd2

BaMgGa2Pd2 after structural relaxation (PBE-GGA, Alexandria via LeMat-Bulk).

Output
- energy of formation from the pure elements (eV/atom) = -0.667

```
BaMgGa2Pd2
1.0
-2.7446 3.2769 -1.2080
-1.1566 -4.2330 -0.6885
-3.3749 -0.2255 7.0561
Ba Mg Ga Pd
1 1 2 2
direct
0.0000 0.0000 0.0000
0.0000 0.0000 0.5000
0.6667 0.3333 0.6984
0.3333 0.6667 0.3016
0.6667 0.3333 0.3604
0.3333 0.6667 0.6396
```

# 6
# LiCd2Pb6

LiCd2Pb6 after structural relaxation (PBE-GGA, Alexandria via LeMat-Bulk).

Output
- energy of formation from the pure elements (eV/atom) = 0.031

```
LiCd2Pb6
1.0
-0.7760 -1.8973 -4.9251
7.2631 -1.9500 -0.3931
-4.7690 -4.2474 5.0856
Li Cd Pb
1 2 6
direct
0.0000 0.0000 0.0000
0.6635 0.6713 0.3426
0.3365 0.3287 0.6574
0.1495 0.4363 0.3119
0.8505 0.1245 0.6881
0.8505 0.5637 0.6881
0.5000 0.2120 0.0000
0.1495 0.8755 0.3119
0.5000 0.7880 0.0000
```

# 7
# PuAl2Cu4Si

PuAl2Cu4Si after structural relaxation (PBE-GGA, Alexandria via LeMat-Bulk).

Output
- formation energy without anion corrections (eV/atom) = -0.0798

```
PuAl2Cu4Si
1.0
-2.0770 1.9961 -2.9367
-1.8681 -2.1119 -2.9954
-8.4795 -0.4712 2.7957
Pu Al Cu Si
1 2 4 1
direct
0.0000 0.0000 0.0000
0.7533 0.7533 0.7402
0.2467 0.2467 0.2598
0.4074 0.4074 0.7777
0.8676 0.8676 0.3972
0.1324 0.1324 0.6028
0.5926 0.5926 0.2223
0.5000 0.5000 0.5000
```

# 8
# CsRb2Ca2Br7

CsRb2Ca2Br7 after structural relaxation (PBE-GGA, Alexandria via LeMat-Bulk).

Output
- formation energy without anion corrections (eV/atom) = -1.9163

```
CsRb2Ca2Br7
1.0
5.7414 -0.0036 0.0167
0.0034 5.7414 0.0167
2.8393 2.8359 14.4350
Cs Rb Ca Br
1 2 2 7
direct
0.0000 0.0000 0.0000
0.8132 0.8132 0.3646
0.1868 0.1868 0.6354
0.6026 0.6026 0.7965
0.3974 0.3974 0.2035
0.5000 0.5000 0.0000
0.3018 0.3018 0.4000
0.6982 0.6982 0.6000
0.9007 0.3995 0.1969
0.3995 0.9007 0.1969
0.6005 0.0993 0.8031
0.0993 0.6005 0.8031
```